# Pm2Bi2O7 PBE optimized geometry
data_Pm2Bi2O7
_symmetry_space_group_name_H-M 'C 1 m 1'
_symmetry_Int_Tables_number 8
_cell_length_a 7.6595
_cell_length_b 8.4354
_cell_length_c 5.4919
_cell_angle_alpha 90.00
_cell_angle_beta 94.41
_cell_angle_gamma 90.00
loop_
_symmetry_equiv_pos_as_xyz
'x,y,z'
'x,-y,z'
'x+1/2,y+1/2,z'
'x+1/2,-y+1/2,z'
loop_
_atom_site_label
_atom_site_fract_x
_atom_site_fract_y
_atom_site_fract_z
Pm1 0.0000 0.2356 0.0000
Bi1 0.2552 0.0000 0.4630
Bi2 0.2752 0.5000 0.5065
O1 0.0171 0.0000 0.7453
O2 0.0642 0.5000 0.2406
O3 0.2121 0.3086 0.7240
O4 0.2641 0.1927 0.2110
O5 0.4777 0.5000 0.2552
# volume	16.081	Å³ per atom
# raw formation energy	-200.5	kJ/mol of atoms
# energy	-6.803	eV per atom